VASP calculation (PBE-GGA) on CaLa2ZrN after structural relaxation. Values from VASP.

Computed properties:
Space-group type = P4/mmm, No. 123
E_form (uncorrected) = -2.32 eV/f.u.
Density of states at the Fermi level = 5.92 states/eV per cell

Quantum ESPRESSO input file:
```
&SYSTEM
  ibrav = 0, nat = 5, ntyp = 4
/
ATOMIC_SPECIES
N 14.01 N.upf
Zr 91.22 Zr.upf
La 138.91 La.upf
Ca 40.08 Ca.upf
CELL_PARAMETERS angstrom
5.429 0.000 0.000
0.000 5.429 0.000
0.000 0.000 4.454
ATOMIC_POSITIONS crystal
N 0.000 0.000 0.000
Zr 0.000 0.000 0.500
La 0.000 0.500 0.000
La 0.500 0.000 0.000
Ca 0.500 0.500 0.500
```